Mo2IrAu | PBE-GGA | optimized geometry

Cell: 3.8956 3.8969 4.1362 Å, 90.00 90.00 90.00°
Last column: nearest neighbours and their distance in Å.
Positions (direct):
Mo (0.5000, 0.5000, 0.0000)  4 Mo 2.76, 4 Ir 2.84, 4 Au 2.84
Mo (0.0000, 0.0000, 0.0000)  4 Mo 2.76, 4 Au 2.84, 4 Ir 2.84
Au (0.5000, 0.0000, 0.5000)  4 Ir 2.76, 8 Mo 2.84
Ir (0.0000, 0.5000, 0.5000)  4 Au 2.76, 8 Mo 2.84

Properties
relative energy among the computed polymorphs: 111 meV/atom
calculated formation energy: 97 meV per atom
density of states at the Fermi level: 5.4 states/eV/cell
SG: P4/mmm


YEr3Fe | PBE-GGA | optimized geometry

Cell: 5.2207 5.2207 5.2207 Å, 90.00 90.00 90.00°
Last column: nearest neighbours and their distance in Å.
Positions (direct):
Er (0.0000, 0.0000, 0.5000)  2 Fe 2.61
Er (0.5000, 0.0000, 0.0000)  2 Fe 2.61
Er (0.0000, 0.5000, 0.0000)  2 Fe 2.61
Fe (0.0000, 0.0000, 0.0000)  6 Er 2.61
Y (0.5000, 0.5000, 0.5000)  12 Er 3.69

Properties
relative energy among the computed polymorphs: 78 meV/atom
calculated formation energy: 92 meV per atom
density of states at the Fermi level: 7.7 states/eV/cell
SG: Pm-3m


EuMgTlCd | PBE-GGA | optimized geometry

Cell: 5.2974 5.2974 5.2974 Å, 60.00 60.00 60.00°
Last column: nearest neighbours and their distance in Å.
Positions (direct):
Cd (0.7500, 0.7500, 0.7500)  4 Mg 3.24, 4 Eu 3.24
Eu (0.5000, 0.5000, 0.5000)  4 Cd 3.24, 4 Tl 3.24
Tl (0.2500, 0.2500, 0.2500)  4 Eu 3.24, 4 Mg 3.24
Mg (0.0000, 0.0000, 0.0000)  4 Tl 3.24, 4 Cd 3.24

Properties
calculated formation energy: -295 meV per atom
density of states at the Fermi level: 7.9 states/eV/cell
SG: F-43m


Look up the density of states at the Fermi level of the first one.
5.4 states/eV/cell


Which formula does entry 1 have?
Mo2IrAu